The following is a PBE calculation of a relaxed Dy2ScCu4Si2Ge2 crystal, from OQMD.

abc: 7.854 7.854 7.854
angles: 149.12 131.19 58.88
Atoms (fractional coordinates):
1 Dy 0.129 0.129 0.000
2 Dy 0.871 0.871 0.000
3 Sc 0.500 0.000 0.500
4 Cu 0.145 0.336 0.809
5 Cu 0.473 0.664 0.809
6 Cu 0.527 0.336 0.191
7 Cu 0.855 0.664 0.191
8 Si 0.189 0.500 0.689
9 Si 0.811 0.500 0.311
10 Ge 0.287 0.787 0.500
11 Ge 0.713 0.213 0.500

* calculated volume: 185.66 Å³/f.u.
* energy relative to the lowest polymorph listed for this composition: 0.015 eV/atom
* VASP energy: -57.1 eV per cell
* size of the total moment: 0.01 μB per formula unit